DFT (PBE-GGA) results for a relaxed structure of Hf2CdN. Values from VASP.

The value obtained for the excess energy over the best structure of this formula in the dataset is 0.000 eV/atom. The calculation puts the formation energy (no corrections) at -944 meV/atom.

Quantum ESPRESSO input file:
```
&SYSTEM
  ibrav = 0, nat = 4, ntyp = 3
/
ATOMIC_SPECIES
Cd 112.41 Cd.upf
Hf 178.49 Hf.upf
N 14.01 N.upf
CELL_PARAMETERS angstrom
3.2578 0.0000 0.0000
1.6289 2.8213 0.0000
1.6289 0.9404 7.3877
ATOMIC_POSITIONS angstrom
Cd 3.2578 1.8809 3.6939
Hf 4.8867 2.8213 6.1677
Hf 1.6289 0.9404 1.2200
N 0.0000 0.0000 0.0000
```


DFT (PBE-GGA) results for a relaxed structure of SrLa2InRu. Values from VASP.

The calculation puts the calculated formation energy at -255 meV per atom. The value obtained for the excess energy over the best structure of this formula in the dataset is 0.000 eV/atom.

Quantum ESPRESSO input file:
```
&SYSTEM
  ibrav = 0, nat = 5, ntyp = 4
/
ATOMIC_SPECIES
In 114.82 In.upf
La 138.91 La.upf
Sr 87.62 Sr.upf
Ru 101.07 Ru.upf
CELL_PARAMETERS angstrom
5.4787 0.0000 0.0000
0.0000 5.5251 0.0000
0.0000 0.0000 5.4787
ATOMIC_POSITIONS angstrom
In 0.0000 2.7625 0.0000
La 2.7394 0.0000 0.0000
La 0.0000 0.0000 2.7394
Sr 2.7394 2.7625 2.7394
Ru 0.0000 0.0000 0.0000
```


DFT (PBE-GGA) results for a relaxed structure of Bi4Te4Cl3. Values from VASP.

The calculation puts the formation energy (no corrections) at -230 meV/atom.

Quantum ESPRESSO input file:
```
&SYSTEM
  ibrav = 0, nat = 11, ntyp = 3
/
ATOMIC_SPECIES
Bi 208.98 Bi.upf
Cl 35.45 Cl.upf
Te 127.60 Te.upf
CELL_PARAMETERS angstrom
4.6923 0.0000 0.0000
0.0000 7.5890 0.0000
-2.3461 -3.7945 10.0092
ATOMIC_POSITIONS angstrom
Bi 0.0000 3.7945 4.2666
Bi 2.3461 1.5306 0.0000
Bi 2.3461 0.0000 5.7427
Bi 2.3461 6.0584 0.0000
Cl 0.0000 0.0000 1.5320
Cl 2.3461 3.7945 8.4773
Cl 0.0000 3.7945 0.0000
Te 0.0000 -1.8300 6.8131
Te 0.0000 1.8300 6.8131
Te 2.3461 1.9645 3.1961
Te 2.3461 5.6245 3.1961
```


DFT (PBE-GGA) results for a relaxed structure of Ga2ReAg. Values from VASP.

The calculation puts the calculated formation energy at 383 meV per atom. The value obtained for the excess energy over the best structure of this formula in the dataset is 0.059 eV/atom.

Quantum ESPRESSO input file:
```
&SYSTEM
  ibrav = 0, nat = 4, ntyp = 3
/
ATOMIC_SPECIES
Ga 69.72 Ga.upf
Re 186.21 Re.upf
Ag 107.87 Ag.upf
CELL_PARAMETERS angstrom
2.7536 0.0000 0.0000
1.3768 2.3847 0.0000
1.3768 0.7949 10.5521
ATOMIC_POSITIONS angstrom
Ga 1.3768 0.7949 7.8731
Ga 4.1304 2.3847 2.6790
Re 0.0000 0.0000 0.0000
Ag 2.7536 1.5898 5.2761
```


DFT (PBE-GGA) results for a relaxed structure of PrHo4Cd5. Values from VASP.

The calculation puts the calculated formation energy at -315 meV per atom.

Quantum ESPRESSO input file:
```
&SYSTEM
  ibrav = 0, nat = 10, ntyp = 3
/
ATOMIC_SPECIES
Cd 112.41 Cd.upf
Ho 164.93 Ho.upf
Pr 140.91 Pr.upf
CELL_PARAMETERS angstrom
-2.3703 0.5431 2.8468
-2.7580 -1.5525 -2.0001
4.5062 -17.0225 6.9994
ATOMIC_POSITIONS angstrom
Cd -2.0636 -2.3954 1.2008
Cd -1.1946 -5.6783 2.5507
Cd 0.5725 -12.3536 5.2955
Cd -0.3110 -9.0159 3.9231
Cd 1.4416 -15.6365 6.6454
Ho 3.5772 -13.5131 5.5564
Ho 1.8130 -6.8488 2.8161
Ho 0.9290 -3.5093 1.4430
Ho 2.6932 -10.1737 4.1833
Pr 0.0000 0.0000 0.0000
```


DFT (PBE-GGA) results for a relaxed structure of YCu2Cl8. Values from VASP.

The calculation puts the formation energy (no corrections) at -1010 meV/atom.

Quantum ESPRESSO input file:
```
&SYSTEM
  ibrav = 0, nat = 11, ntyp = 3
/
ATOMIC_SPECIES
Cl 35.45 Cl.upf
Y 88.91 Y.upf
Cu 63.55 Cu.upf
CELL_PARAMETERS angstrom
-0.3550 -5.8369 -2.6528
6.1614 -0.3454 -4.3701
3.4566 -4.4564 5.0371
ATOMIC_POSITIONS angstrom
Cl 1.9550 -4.9017 -1.5799
Cl 7.3080 -5.7370 -0.4059
Cl 4.0496 -2.9860 -0.1405
Cl 4.8575 -5.4532 3.0298
Cl 2.5923 -7.9415 1.2910
Cl 5.2135 -7.6527 -1.8453
Cl 4.4056 -5.1855 -5.0156
Cl 6.6708 -2.6972 -3.2768
Y 0.0000 0.0000 0.0000
Cu 1.7061 -2.8673 -0.7625
Cu 7.5569 -7.7714 -1.2233
```